a) The following is a GGA-PBE calculation of Mg3Ga2Au4 after structural relaxation, from Alexandria via LeMat-Bulk.

Cell: 4.624 4.624 9.471 Å, 102.45 102.45 59.98°
Element x y z (fractional)
Mg  0.000  0.000  0.000
Mg  0.396  0.396  0.217
Mg  0.604  0.604  0.783
Ga  0.223  0.223  0.609
Ga  0.777  0.777  0.391
Au  0.091  0.091  0.326
Au  0.305  0.305  0.909
Au  0.695  0.695  0.091
Au  0.909  0.909  0.674

Results
Space-group type: C2/m, No. 12
Crystal system: monoclinic


b) The following is a GGA-PBE calculation of Mg3Ga2Au4 after structural relaxation, from Alexandria via LeMat-Bulk.

Cell: 5.576 5.576 8.488 Å, 118.95 118.95 47.74°
Element x y z (fractional)
Mg  0.000  0.000  0.000
Mg  0.342  0.342  0.319
Mg  0.658  0.658  0.681
Ga  0.377  0.377  0.704
Ga  0.623  0.623  0.296
Au  0.065  0.065  0.388
Au  0.288  0.288  0.934
Au  0.712  0.712  0.066
Au  0.935  0.935  0.612

Results
Space-group type: C2/m, No. 12
Crystal system: monoclinic


We find a) to be the most stable, with the next structure 11 meV/atom higher.


a) The following is a GGA-PBE calculation of Mg2GaAu4 after structural relaxation, from Alexandria via LeMat-Bulk.

Cell: 7.693 7.693 7.693 Å, 143.22 143.22 53.00°
Element x y z (fractional)
Mg  0.121  0.121  0.000
Mg  0.879  0.879  0.000
Ga  0.500  0.500  0.000
Au  0.000  0.500  0.500
Au  0.310  0.310  0.000
Au  0.500  0.000  0.500
Au  0.690  0.690  0.000

Results
Space-group type: I4/mmm, No. 139
Crystal system: tetragonal


b) The following is a GGA-PBE calculation of Mg2GaAu4 after structural relaxation, from Alexandria via LeMat-Bulk.

Cell: 4.572 4.572 7.516 Å, 100.78 100.78 61.62°
Element x y z (fractional)
Mg  0.230  0.230  0.275
Mg  0.770  0.770  0.725
Ga  0.500  0.500  0.000
Au  0.138  0.138  0.874
Au  0.411  0.411  0.641
Au  0.589  0.589  0.359
Au  0.862  0.862  0.126

Results
Space-group type: C2/m, No. 12
Crystal system: monoclinic


We find b) to be the most stable, with the next structure 310 meV/atom higher.


a) The following is a GGA-PBE calculation of Mg3GaAu3 after structural relaxation, from Alexandria via LeMat-Bulk.

Cell: 6.200 6.200 7.391 Å, 92.75 92.75 105.84°
Element x y z (fractional)
Mg  0.163  0.837  0.000
Mg  0.238  0.762  0.500
Mg  0.368  0.368  0.143
Mg  0.632  0.632  0.857
Mg  0.762  0.238  0.500
Mg  0.837  0.163  0.000
Ga  0.322  0.322  0.534
Ga  0.678  0.678  0.466
Au  0.046  0.046  0.303
Au  0.126  0.462  0.800
Au  0.462  0.126  0.800
Au  0.538  0.874  0.200
Au  0.874  0.538  0.200
Au  0.954  0.954  0.697

Results
Space-group type: C2/m, No. 12
Crystal system: monoclinic


b) The following is a GGA-PBE calculation of Mg3GaAu3 after structural relaxation, from Alexandria via LeMat-Bulk.

Cell: 5.603 5.603 5.603 Å, 109.03 109.03 109.03°
Element x y z (fractional)
Mg  0.000  0.500  0.500
Mg  0.500  0.000  0.500
Mg  0.500  0.500  0.000
Ga  0.001  0.001  0.001
Au  0.000  0.000  0.500
Au  0.000  0.500  0.000
Au  0.500  0.000  0.000

Results
Space-group type: R3m, No. 160
Crystal system: trigonal


We find b) to be the most stable, with the next structure 14 meV/atom higher.


a) The following is a GGA-PBE calculation of Mg2GaAu2 after structural relaxation, from Alexandria via LeMat-Bulk.

Cell: 5.627 5.627 9.309 Å, 111.07 111.07 45.15°
Element x y z (fractional)
Mg  0.002  0.002  0.330
Mg  0.170  0.170  0.079
Mg  0.830  0.830  0.921
Mg  0.998  0.998  0.670
Ga  0.291  0.291  0.646
Ga  0.709  0.709  0.354
Au  0.357  0.357  0.392
Au  0.458  0.458  0.127
Au  0.542  0.542  0.873
Au  0.643  0.643  0.608

Results
Space-group type: C2/m, No. 12
Crystal system: monoclinic


b) The following is a GGA-PBE calculation of Mg2GaAu2 after structural relaxation, from Alexandria via LeMat-Bulk.

Cell: 7.002 7.002 7.002 Å, 119.37 77.01 137.25°
Element x y z (fractional)
Mg  0.191  0.157  0.348
Mg  0.309  0.657  0.967
Mg  0.691  0.343  0.033
Mg  0.809  0.843  0.652
Ga  0.250  0.750  0.500
Ga  0.750  0.250  0.500
Au  0.083  0.814  0.897
Au  0.417  0.314  0.730
Au  0.583  0.686  0.270
Au  0.917  0.186  0.103

Results
Space-group type: Ibam, No. 72
Crystal system: orthorhombic


c) The following is a GGA-PBE calculation of Mg2GaAu2 after structural relaxation, from Alexandria via LeMat-Bulk.

Cell: 8.023 8.023 3.025 Å, 90.00 90.00 90.00°
Element x y z (fractional)
Mg  0.140  0.360  0.000
Mg  0.360  0.860  0.000
Mg  0.640  0.140  0.000
Mg  0.860  0.640  0.000
Ga  0.000  0.000  0.000
Ga  0.500  0.500  0.000
Au  0.155  0.655  0.500
Au  0.345  0.155  0.500
Au  0.655  0.845  0.500
Au  0.845  0.345  0.500

Results
Space-group type: P4/mbm, No. 127
Crystal system: tetragonal


We find a) to be the most stable, with the next structure 48 meV/atom higher.


a) The following is a GGA-PBE calculation of Mg2GaAu2 after structural relaxation, from Alexandria via LeMat-Bulk.

Cell: 7.259 7.259 3.629 Å, 90.00 90.00 90.00°
Element x y z (fractional)
Mg  0.156  0.344  0.000
Mg  0.344  0.844  0.000
Mg  0.656  0.156  0.000
Mg  0.844  0.656  0.000
Ga  0.000  0.000  0.500
Ga  0.500  0.500  0.500
Au  0.144  0.644  0.500
Au  0.356  0.144  0.500
Au  0.644  0.856  0.500
Au  0.856  0.356  0.500

Results
Space-group type: P4/mbm, No. 127
Crystal system: tetragonal


b) The following is a GGA-PBE calculation of Mg2GaAu2 after structural relaxation, from Alexandria via LeMat-Bulk.

Cell: 6.832 6.832 6.832 Å, 144.51 144.51 51.06°
Element x y z (fractional)
Mg  0.250  0.750  0.500
Mg  0.750  0.250  0.500
Ga  0.000  0.000  0.000
Au  0.389  0.389  0.000
Au  0.611  0.611  0.000

Results
Space-group type: I4/mmm, No. 139
Crystal system: tetragonal


We find a) to be the most stable, with the next structure 222 meV/atom higher.


a) The following is a GGA-PBE calculation of Mg3GaAu2 after structural relaxation, from Alexandria via LeMat-Bulk.

Cell: 3.367 3.367 9.731 Å, 90.00 90.00 90.00°
Element x y z (fractional)
Mg  0.000  0.000  0.000
Mg  0.000  0.000  0.328
Mg  0.000  0.000  0.672
Ga  0.500  0.500  0.500
Au  0.500  0.500  0.168
Au  0.500  0.500  0.832

Results
Space-group type: P4/mmm, No. 123
Crystal system: tetragonal


b) The following is a GGA-PBE calculation of Mg3GaAu2 after structural relaxation, from Alexandria via LeMat-Bulk.

Cell: 7.790 7.790 4.008 Å, 104.50 104.50 30.01°
Element x y z (fractional)
Mg  0.000  0.000  0.000
Mg  0.320  0.320  0.822
Mg  0.680  0.680  0.178
Ga  0.500  0.500  0.500
Au  0.132  0.132  0.631
Au  0.868  0.868  0.369

Results
Space-group type: C2/m, No. 12
Crystal system: monoclinic


We find a) to be the most stable, with the next structure 33 meV/atom higher.


a) The following is a GGA-PBE calculation of Mg6GaAu after structural relaxation, from Alexandria via LeMat-Bulk.

Cell: 7.432 7.432 7.432 Å, 140.69 140.69 56.80°
Element x y z (fractional)
Mg  0.114  0.614  0.500
Mg  0.247  0.247  0.000
Mg  0.386  0.886  0.500
Mg  0.614  0.114  0.500
Mg  0.753  0.753  0.000
Mg  0.886  0.386  0.500
Ga  0.500  0.500  0.000
Au  0.000  0.000  0.000

Results
Space-group type: I4/mmm, No. 139
Crystal system: tetragonal


b) The following is a GGA-PBE calculation of Mg6GaAu after structural relaxation, from Alexandria via LeMat-Bulk.

Cell: 6.252 6.252 6.270 Å, 104.04 104.04 120.67°
Element x y z (fractional)
Mg  0.035  0.451  0.250
Mg  0.246  0.246  0.754
Mg  0.451  0.035  0.250
Mg  0.549  0.965  0.750
Mg  0.754  0.754  0.246
Mg  0.965  0.549  0.750
Ga  0.500  0.500  0.500
Au  0.000  0.000  0.000

Results
Space-group type: C2/m, No. 12
Crystal system: monoclinic


We find a) to be the most stable, with the next structure 129 meV/atom higher.


a) The following is a GGA-PBE calculation of MgGa2Au2 after structural relaxation, from Alexandria via LeMat-Bulk.

Cell: 5.662 5.662 5.662 Å, 130.40 130.40 72.77°
Element x y z (fractional)
Mg  0.000  0.000  0.000
Ga  0.366  0.366  0.000
Ga  0.634  0.634  0.000
Au  0.250  0.750  0.500
Au  0.750  0.250  0.500

Results
Space-group type: I4/mmm, No. 139
Crystal system: tetragonal


b) The following is a GGA-PBE calculation of MgGa2Au2 after structural relaxation, from Alexandria via LeMat-Bulk.

Cell: 7.082 7.082 7.082 Å, 148.66 148.66 44.91°
Element x y z (fractional)
Mg  0.000  0.000  0.000
Ga  0.250  0.750  0.500
Ga  0.750  0.250  0.500
Au  0.396  0.396  0.000
Au  0.604  0.604  0.000

Results
Space-group type: I4/mmm, No. 139
Crystal system: tetragonal


We find b) to be the most stable, with the next structure 102 meV/atom higher.


a) The following is a GGA-PBE calculation of MgGa2Au2 after structural relaxation, from Alexandria via LeMat-Bulk.

Cell: 7.301 7.301 3.633 Å, 90.00 90.00 90.00°
Element x y z (fractional)
Mg  0.000  0.000  0.000
Mg  0.500  0.500  0.000
Ga  0.156  0.344  0.500
Ga  0.344  0.844  0.500
Ga  0.656  0.156  0.500
Ga  0.844  0.656  0.500
Au  0.147  0.647  0.000
Au  0.353  0.147  0.000
Au  0.647  0.853  0.000
Au  0.853  0.353  0.000

Results
Space-group type: P4/mbm, No. 127
Crystal system: tetragonal


b) The following is a GGA-PBE calculation of MgGa2Au2 after structural relaxation, from Alexandria via LeMat-Bulk.

Cell: 7.487 7.487 3.366 Å, 90.00 90.00 90.00°
Element x y z (fractional)
Mg  0.000  0.000  0.000
Mg  0.500  0.500  0.000
Ga  0.119  0.381  0.000
Ga  0.381  0.881  0.000
Ga  0.619  0.119  0.000
Ga  0.881  0.619  0.000
Au  0.191  0.691  0.500
Au  0.309  0.191  0.500
Au  0.691  0.809  0.500
Au  0.809  0.309  0.500

Results
Space-group type: P4/mbm, No. 127
Crystal system: tetragonal


We find a) to be the most stable, with the next structure 41 meV/atom higher.


a) The following is a GGA-PBE calculation of MgGa2Au2 after structural relaxation, from Alexandria via LeMat-Bulk.

Cell: 4.709 4.709 4.972 Å, 102.89 102.89 102.78°
Element x y z (fractional)
Mg  0.000  0.000  0.000
Ga  0.406  0.406  0.726
Ga  0.594  0.594  0.274
Au  0.197  0.803  0.500
Au  0.803  0.197  0.500

Results
Space-group type: C2/m, No. 12
Crystal system: monoclinic


b) The following is a GGA-PBE calculation of MgGa2Au2 after structural relaxation, from Alexandria via LeMat-Bulk.

Cell: 4.416 4.523 9.617 Å, 90.00 90.00 90.00°
Element x y z (fractional)
Mg  0.250  0.250  0.184
Mg  0.750  0.750  0.816
Ga  0.250  0.250  0.499
Ga  0.250  0.250  0.818
Ga  0.750  0.750  0.182
Ga  0.750  0.750  0.501
Au  0.250  0.750  0.345
Au  0.250  0.750  0.984
Au  0.750  0.250  0.016
Au  0.750  0.250  0.655

Results
Space-group type: Pmmn, No. 59
Crystal system: orthorhombic


We find b) to be the most stable, with the next structure 84 meV/atom higher.


a) The following is a GGA-PBE calculation of Mg2GaAu6 after structural relaxation, from Alexandria via LeMat-Bulk.

Cell: 7.388 7.388 7.388 Å, 148.99 115.65 73.15°
Element x y z (fractional)
Mg  0.152  0.152  0.000
Mg  0.848  0.848  0.000
Ga  0.500  0.500  0.000
Au  0.091  0.332  0.760
Au  0.272  0.000  0.272
Au  0.428  0.668  0.760
Au  0.572  0.332  0.240
Au  0.728  0.000  0.728
Au  0.909  0.668  0.240

Results
Space-group type: Immm, No. 71
Crystal system: orthorhombic


b) The following is a GGA-PBE calculation of Mg2GaAu6 after structural relaxation, from Alexandria via LeMat-Bulk.

Cell: 8.510 8.510 4.393 Å, 90.00 90.00 90.00°
Element x y z (fractional)
Mg  0.202  0.202  0.000
Mg  0.298  0.702  0.500
Mg  0.702  0.298  0.500
Mg  0.798  0.798  0.000
Ga  0.000  0.000  0.500
Ga  0.500  0.500  0.000
Au  0.030  0.327  0.500
Au  0.129  0.871  0.000
Au  0.173  0.530  0.000
Au  0.327  0.030  0.500
Au  0.371  0.371  0.500
Au  0.470  0.827  0.000
Au  0.530  0.173  0.000
Au  0.629  0.629  0.500
Au  0.673  0.970  0.500
Au  0.827  0.470  0.000
Au  0.871  0.129  0.000
Au  0.970  0.673  0.500

Results
Space-group type: P4_2/mnm, No. 136
Crystal system: tetragonal


We find b) to be the most stable, with the next structure 106 meV/atom higher.